# Zn2Co2Bi

A relaxed structure of Zn2Co2Bi (PBE, Alexandria).

Geometry as CIF:
```
data_Zn2Co2Bi
_cell_length_a 6.861
_cell_length_b 6.861
_cell_length_c 3.304
_cell_angle_alpha 90.00
_cell_angle_beta 90.00
_cell_angle_gamma 90.00
_space_group_name_H-M_alt 'P 4/m b m'
_space_group_IT_number 127
_space_group_name_Hall '-P 4 2ab'
loop_
_atom_site_label
_atom_site_type_symbol
_atom_site_fract_x
_atom_site_fract_y
_atom_site_fract_z
Zn1 Zn 0.143 0.357 0.000
Co1 Co 0.142 0.642 0.500
Bi1 Bi 0.000 0.000 0.500
```

## Properties
Mass density in g/cm3: 9.77
ΔE_f in eV per atom: 0.27
Crystal system: tetragonal



# Fe3Se

A relaxed structure of Fe3Se (PBE, Alexandria).

Geometry as CIF:
```
data_Fe3Se
_cell_length_a 8.0043
_cell_length_b 8.0043
_cell_length_c 2.8672
_cell_angle_alpha 90.00
_cell_angle_beta 90.00
_cell_angle_gamma 120.00
_space_group_name_H-M_alt 'R -3 m'
_space_group_IT_number 166
_space_group_name_Hall '-R 3 2"'
loop_
_atom_site_label
_atom_site_type_symbol
_atom_site_fract_x
_atom_site_fract_y
_atom_site_fract_z
Fe1 Fe 0.0000 0.5000 0.0000
Se1 Se 0.0000 0.0000 0.0000
```

## Properties
Mass density in g/cm3: 7.72
Energy relative to the elements, uncorrected in eV/atom: 0.301
Crystal system: trigonal



# SrPm2PaN4

A relaxed structure of SrPm2PaN4 (PBE, Alexandria).

Geometry as CIF:
```
data_SrPm2PaN4
_cell_length_a 6.227
_cell_length_b 3.622
_cell_length_c 6.270
_cell_angle_alpha 90.00
_cell_angle_beta 109.09
_cell_angle_gamma 90.00
_space_group_name_H-M_alt 'P 1 2/m 1'
_space_group_IT_number 10
loop_
_space_group_symop_operation_xyz
'x,y,z'
'-x,-y,-z'
'-x,y,-z'
'x,-y,z'
loop_
_atom_site_label
_atom_site_type_symbol
_atom_site_fract_x
_atom_site_fract_y
_atom_site_fract_z
Sr1 Sr 0.000 0.000 0.000
Pm1 Pm 0.500 0.000 0.500
Pm2 Pm 0.500 0.500 0.000
Pa1 Pa 0.000 0.500 0.500
N1 N 0.236 0.500 0.291
N2 N 0.239 0.000 0.727
```

## Properties
Mass density in g/cm3: 8.26
Energy relative to the elements, uncorrected in eV/atom: -1.365
Crystal system: monoclinic



# Rb3BiAu

A relaxed structure of Rb3BiAu (PBE, Alexandria).

Geometry as CIF:
```
data_Rb3BiAu
_cell_length_a 20.127
_cell_length_b 4.435
_cell_length_c 10.514
_cell_angle_alpha 90.00
_cell_angle_beta 104.77
_cell_angle_gamma 90.00
_space_group_name_H-M_alt 'C 1 2/m 1'
_space_group_IT_number 12
loop_
_space_group_symop_operation_xyz
'x,y,z'
'-x,-y,-z'
'-x,y,-z'
'x,-y,z'
'x+1/2,y+1/2,z'
'-x+1/2,-y+1/2,-z'
'-x+1/2,y+1/2,-z'
'x+1/2,-y+1/2,z'
loop_
_atom_site_label
_atom_site_type_symbol
_atom_site_fract_x
_atom_site_fract_y
_atom_site_fract_z
Rb1 Rb 0.081 0.000 0.127
Rb2 Rb 0.094 0.500 0.471
Rb3 Rb 0.225 0.000 0.794
Bi1 Bi 0.074 0.500 0.822
Au1 Au 0.217 0.000 0.419
```

## Properties
Mass density in g/cm3: 4.85
ΔE_f in eV per atom: -0.24
Crystal system: monoclinic



# Tc6GeB2

A relaxed structure of Tc6GeB2 (PBE, Alexandria).

Geometry as CIF:
```
data_Tc6GeB2
_cell_length_a 7.338
_cell_length_b 7.595
_cell_length_c 8.087
_cell_angle_alpha 90.00
_cell_angle_beta 90.00
_cell_angle_gamma 90.00
_space_group_name_H-M_alt 'I m m m'
_space_group_IT_number 71
_space_group_name_Hall '-I 2 2'
loop_
_atom_site_label
_atom_site_type_symbol
_atom_site_fract_x
_atom_site_fract_y
_atom_site_fract_z
Tc1 Tc 0.000 0.194 0.240
Tc2 Tc 0.195 0.500 0.179
Tc3 Tc 0.206 0.312 0.500
Ge1 Ge 0.000 0.000 0.000
Ge2 Ge 0.000 0.000 0.500
B1 B 0.000 0.350 0.000
B2 B 0.000 0.500 0.385
```

## Properties
Mass density in g/cm3: 10.05
ΔE_f in eV per atom: -0.19
Crystal system: orthorhombic



# Zr2ZnCd

A relaxed structure of Zr2ZnCd (PBE, Alexandria).

Geometry as CIF:
```
data_Zr2ZnCd
_cell_length_a 4.414
_cell_length_b 4.414
_cell_length_c 8.309
_cell_angle_alpha 90.00
_cell_angle_beta 90.00
_cell_angle_gamma 90.00
_space_group_name_H-M_alt 'I 4/m m m'
_space_group_IT_number 139
_space_group_name_Hall '-I 4 2'
loop_
_atom_site_label
_atom_site_type_symbol
_atom_site_fract_x
_atom_site_fract_y
_atom_site_fract_z
Zr1 Zr 0.000 0.500 0.250
Zn1 Zn 0.000 0.000 0.000
Cd1 Cd 0.000 0.000 0.500
```

## Properties
Mass density in g/cm3: 7.39
ΔE_f in eV per atom: -0.15
Crystal system: tetragonal